1.
A plane-wave DFT calculation with PBE was carried out for a relaxed OsSeI2N crystal.

The space group is P4/mmm (No. 123) and the conventional cell measures 5.5607, 5.5607 and 3.7338 Å, with angles of 90.00, 90.00 and 90.00 degrees. Symmetry generates all atoms from Os at (0.0000, 0.0000, 0.0000), Se at (0.5000, 0.5000, 0.5000), I at (0.0000, 0.5000, 0.0000) and N at (0.0000, 0.0000, 0.5000).

For the energy above the most stable polymorph in this dataset, the calculation gives 0 meV per atom. As for the energy: -4.565 eV per atom. As for the uncorrected formation energy: 3.3 eV/f.u.

---

2.
A plane-wave DFT calculation with PBE was carried out for a relaxed SiOs2IN crystal.

The space group is P4/mmm (No. 123) and the conventional cell measures 4.8540, 4.8540 and 5.3661 Å, with angles of 90.00, 90.00 and 90.00 degrees. Symmetry generates all atoms from Si at (0.0000, 0.0000, 0.0000), Os at (0.0000, 0.5000, 0.5000), I at (0.0000, 0.0000, 0.5000) and N at (0.5000, 0.5000, 0.0000).

As for the energy: -3.880 eV per atom. As for the uncorrected formation energy: 18.4 eV/f.u.

---

3.
A plane-wave DFT calculation with PBE was carried out for a relaxed SnOsI2N crystal.

The space group is P4/mmm (No. 123) and the conventional cell measures 5.6834, 5.6834 and 3.7732 Å, with angles of 90.00, 90.00 and 90.00 degrees. Symmetry generates all atoms from Sn at (0.0000, 0.0000, 0.0000), Os at (0.5000, 0.5000, 0.5000), I at (0.0000, 0.5000, 0.5000) and N at (0.5000, 0.5000, 0.0000).

For the energy above the most stable polymorph in this dataset, the calculation gives 0 meV per atom. As for the energy: -4.914 eV per atom. As for the uncorrected formation energy: 2.1 eV/f.u.

---

4.
A plane-wave DFT calculation with PBE was carried out for a relaxed SnOsI2N crystal.

The space group is P4/mmm (No. 123) and the conventional cell measures 6.0308, 6.0308 and 3.8209 Å, with angles of 90.00, 90.00 and 90.00 degrees. Symmetry generates all atoms from Sn at (0.0000, 0.0000, 0.0000), Os at (0.5000, 0.5000, 0.5000), I at (0.0000, 0.5000, 0.0000) and N at (0.0000, 0.0000, 0.5000).

For the energy above the most stable polymorph in this dataset, the calculation gives 1313 meV per atom. As for the energy: -3.600 eV per atom. As for the uncorrected formation energy: 8.7 eV/f.u.

---

M_tot (computed, μB per cell): 0.29, 2.88, 0.00, 3.63
Calculated volume (computed, A^3/atom): 23.09, 25.29, 24.38, 27.79